Record 1
{"formula": "BaSbBr2", "functional": "PBE", "state": "relaxed", "e_form_raw_ev_per_atom": -1.0093, "dft_energy_ev_per_atom": -3.357, "polymorph_energy_kcal_per_mol_atoms": 2.10, "space_group": "No. 119", "cell": [[-2.2795, 2.2795, 6.4445], [2.2795, -2.2795, 6.4445], [2.2795, 2.2795, -6.4445]], "species": ["Ba", "Sb", "Br", "Br"], "frac_coords": [[0.0000, 0.0000, 0.0000], [0.7500, 0.2500, 0.5000], [0.2500, 0.7500, 0.5000], [0.5000, 0.5000, 0.0000]]}

***

Record 2
{"formula": "PmScTlNi", "functional": "PBE", "state": "relaxed", "delta_e_f_mev_per_atom": -195, "dft_energy_ev_per_atom": -5.002, "space_group": "No. 216", "cell": [[0.0000, 3.5730, 3.5730], [3.5730, 0.0000, 3.5730], [3.5730, 3.5730, 0.0000]], "species": ["Pm", "Sc", "Tl", "Ni"], "frac_coords": [[0.0000, 0.0000, 0.0000], [0.5000, 0.5000, 0.5000], [0.7500, 0.7500, 0.7500], [0.2500, 0.2500, 0.2500]]}

***

Record 3
{"formula": "Zr2CrSe", "functional": "PBE", "state": "relaxed", "e_form_raw_ev_per_atom": -0.3501, "dft_energy_ev_per_atom": -7.901, "space_group": "No. 123", "cell": [[3.3775, 0.0000, 0.0000], [0.0000, 3.3775, 0.0000], [0.0000, 0.0000, 6.4487]], "species": ["Zr", "Zr", "Cr", "Se"], "frac_coords": [[0.0000, 0.0000, 0.2345], [0.0000, 0.0000, 0.7655], [0.5000, 0.5000, 0.0000], [0.5000, 0.5000, 0.5000]]}

***

Record 4
{"formula": "NpZnCd2O6", "functional": "PBE", "state": "relaxed", "e_form_raw_ev_per_atom": -1.7853, "dft_energy_ev_per_atom": -6.365, "space_group": "No. 14", "cell": [[5.5384, 0.0000, 0.0000], [0.0000, 5.7054, 0.0000], [-5.5355, 0.0000, 8.1292]], "species": ["Np", "Np", "Zn", "Zn", "Cd", "Cd", "Cd", "Cd", "O", "O", "O", "O", "O", "O", "O", "O", "O", "O", "O", "O"], "frac_coords": [[0.0000, 0.0000, 0.0000], [0.0000, 0.5000, 0.5000], [0.5000, 0.0000, 0.5000], [0.5000, 0.5000, 0.0000], [0.2412, 0.0480, 0.7511], [0.2412, 0.4520, 0.2511], [0.7588, 0.5480, 0.7489], [0.7588, 0.9520, 0.2489], [0.1213, 0.1979, 0.4364], [0.1213, 0.3021, 0.9364], [0.2507, 0.6923, 0.4440], [0.2507, 0.8077, 0.9440], [0.3582, 0.0546, 0.2470], [0.3582, 0.4454, 0.7470], [0.6418, 0.5546, 0.2530], [0.6418, 0.9454, 0.7530], [0.7493, 0.1923, 0.0560], [0.7493, 0.3077, 0.5560], [0.8787, 0.6979, 0.0636], [0.8787, 0.8021, 0.5636]]}

***

Record 5
{"formula": "Ti2BeP", "functional": "PBE", "state": "relaxed", "delta_e_f_mev_per_atom": -274, "dft_energy_ev_per_atom": -6.506, "polymorph_energy_kcal_per_mol_atoms": 13.76, "space_group": "No. 122", "cell": [[-3.2905, 3.2905, 2.6332], [3.2905, -3.2905, 2.6332], [3.2905, 3.2905, -2.6332]], "species": ["Ti", "Ti", "Ti", "Ti", "Be", "Be", "P", "P"], "frac_coords": [[0.1234, 0.6250, 0.9984], [0.3750, 0.3734, 0.4984], [0.6266, 0.1250, 0.0016], [0.8750, 0.8766, 0.5016], [0.2500, 0.7500, 0.5000], [0.5000, 0.5000, 0.0000], [0.0000, 0.0000, 0.0000], [0.7500, 0.2500, 0.5000]]}

***

Record 6
{"formula": "Nd3ErTm12", "functional": "PBE", "state": "relaxed", "delta_e_f_mev_per_atom": 28, "dft_energy_ev_per_atom": -4.505, "space_group": "No. 123", "cell": [[4.9834, 0.0000, 0.0000], [0.0000, 4.9834, 0.0000], [0.0000, 0.0000, 19.9562]], "species": ["Nd", "Nd", "Nd", "Er", "Tm", "Tm", "Tm", "Tm", "Tm", "Tm", "Tm", "Tm", "Tm", "Tm", "Tm", "Tm"], "frac_coords": [[0.0000, 0.0000, 0.0000], [0.0000, 0.0000, 0.2507], [0.0000, 0.0000, 0.7493], [0.0000, 0.0000, 0.5000], [0.0000, 0.5000, 0.1256], [0.0000, 0.5000, 0.3771], [0.0000, 0.5000, 0.6229], [0.0000, 0.5000, 0.8744], [0.5000, 0.0000, 0.1256], [0.5000, 0.0000, 0.3771], [0.5000, 0.0000, 0.6229], [0.5000, 0.0000, 0.8744], [0.5000, 0.5000, 0.0000], [0.5000, 0.5000, 0.2516], [0.5000, 0.5000, 0.5000], [0.5000, 0.5000, 0.7484]]}